# Dy2TlIn3 PBE optimized geometry
# energy above the lowest structure with this stoichiometry	0.3	kJ per mole of atoms
# total magnetization	0.02	μB per cell
# crystal system	orthorhombic
data_Dy2TlIn3
_chemical_formula_sum 'Dy4 Tl2 In6'
_space_group_name_H-M_alt 'C m m m'
_space_group_IT_number 65
_space_group_name_Hall '-C 2 2'
_cell_length_a 4.657
_cell_length_b 14.322
_cell_length_c 4.672
_cell_angle_alpha 90.00
_cell_angle_beta 90.00
_cell_angle_gamma 90.00
loop_
_atom_site_label
_atom_site_type_symbol
_atom_site_fract_x
_atom_site_fract_y
_atom_site_fract_z
_atom_site_occupancy
Dy1 Dy 0.000 0.155 0.000 1
Tl1 Tl 0.000 0.000 0.500 1
In1 In 0.000 0.323 0.500 1
In2 In 0.000 0.500 0.000 1